TbPr2Mg: optimized geometry, PBE-GGA.

Cell: 3.5758 10.5503 10.5503 Å, 19.19 90.00 90.00°
Closest atoms and distances in Å follow each position.
Sites, in units of the cell vectors:
Tb (0.0000, 0.0000, 0.0000)  4 Tb 3.52-3.58, 6 Pr 3.55-3.60
Pr (0.5000, 0.6239, 0.6239)  4 Mg 3.47, 4 Pr 3.52-3.58, 4 Tb 3.60
Pr (0.5000, 0.8526, 0.8526)  4 Mg 3.44, 4 Pr 3.52-3.58, 2 Tb 3.55
Mg (0.0000, 0.2395, 0.2395)  8 Pr 3.44-3.47, 4 Mg 3.52-3.58

Calculated values
SG	Amm2
magnetic moment	0.0004	μB/atom
formation energy from the elements	83	meV per atom
total energy	-3.86	eV per atom
excess energy over the best structure of this formula in the dataset	117.0	meV/atom


Co3Re5: optimized geometry, PBE-GGA.

Cell: 5.3162 5.3162 3.7707 Å, 90.00 90.00 90.29°
Closest atoms and distances in Å follow each position.
Sites, in units of the cell vectors:
Co (0.0000, 0.0000, 0.0000)  8 Re 2.62-2.66, 4 Co 2.63
Co (0.2437, 0.2437, 0.5000)  10 Re 2.57-2.74, 2 Co 2.63
Co (0.7563, 0.7563, 0.5000)  10 Re 2.57-2.74, 2 Co 2.63
Re (0.0000, 0.5000, 0.0000)  6 Co 2.66-2.67, 6 Re 2.66
Re (0.2404, 0.7596, 0.5000)  6 Co 2.57-2.74, 6 Re 2.66-2.72
Re (0.5000, 0.0000, 0.0000)  6 Re 2.66, 6 Co 2.66-2.67
Re (0.5000, 0.5000, 0.0000)  8 Re 2.66-2.72, 4 Co 2.69
Re (0.7596, 0.2404, 0.5000)  6 Co 2.57-2.74, 6 Re 2.66-2.72

Calculated values
SG	Cmmm
magnetic moment	0.0000	μB/atom
formation energy from the elements	53	meV per atom
total energy	-10.39	eV per atom
excess energy over the best structure of this formula in the dataset	9.5	meV/atom


Sr2LiCa: optimized geometry, PBE-GGA.

Cell: 12.6923 12.6923 12.6923 Å, 18.42 18.42 18.42°
Closest atoms and distances in Å follow each position.
Sites, in units of the cell vectors:
Sr (0.2442, 0.2442, 0.2442)  3 Li 3.73, 6 Sr 4.06, 3 Ca 4.08
Sr (0.7558, 0.7558, 0.7558)  3 Li 3.73, 6 Sr 4.06, 3 Ca 4.08
Li (0.5000, 0.5000, 0.5000)  6 Sr 3.73, 6 Li 4.06
Ca (0.0000, 0.0000, 0.0000)  6 Ca 4.06, 6 Sr 4.08

Calculated values
SG	R-3m
magnetic moment	0.0001	μB/atom
formation energy from the elements	96	meV per atom
total energy	-1.72	eV per atom
excess energy over the best structure of this formula in the dataset	80.1	meV/atom


AlOs2Pt: optimized geometry, PBE-GGA.

Cell: 4.3790 4.3790 4.3790 Å, 60.00 60.00 60.00°
Closest atoms and distances in Å follow each position.
Sites, in units of the cell vectors:
Al (0.0000, 0.0000, 0.0000)  4 Os 2.68, 4 Pt 2.68
Os (0.5000, 0.5000, 0.5000)  4 Os 2.68, 4 Pt 2.68
Os (0.7500, 0.7500, 0.7500)  4 Os 2.68, 4 Al 2.68
Pt (0.2500, 0.2500, 0.2500)  4 Os 2.68, 4 Al 2.68

Calculated values
SG	F-43m
magnetic moment	0.0005	μB/atom
formation energy from the elements	161	meV per atom
total energy	-7.90	eV per atom


PuPaN4: optimized geometry, PBE-GGA.

Cell: 6.3949 6.3949 6.3949 Å, 34.47 34.47 34.47°
Closest atoms and distances in Å follow each position.
Sites, in units of the cell vectors:
Pu (0.0000, 0.0000, 0.0000)  8 N 2.14-2.28
Pa (0.5000, 0.5000, 0.5000)  8 N 2.35
N (0.1189, 0.1189, 0.1189)  1 Pu 2.14, 3 Pa 2.35
N (0.3697, 0.3697, 0.3697)  3 Pu 2.28, 1 Pa 2.35, 3 N 2.55
N (0.6303, 0.6303, 0.6303)  3 Pu 2.28, 1 Pa 2.35, 3 N 2.55
N (0.8811, 0.8811, 0.8811)  1 Pu 2.14, 3 Pa 2.35

Calculated values
SG	R-3m
formation energy from raw total energies	-1033	meV per atom
magnetic moment	0.1639	μB/atom
total energy	-10.55	eV per atom
excess energy over the best structure of this formula in the dataset	0.0	meV/atom


Y2ScCo9: optimized geometry, PBE-GGA.

Cell: 8.6184 8.6184 8.6184 Å, 33.14 33.14 33.14°
Closest atoms and distances in Å follow each position.
Sites, in units of the cell vectors:
Y (0.1386, 0.1386, 0.1386)  12 Co 2.84-3.14, 3 Y 3.15
Y (0.8614, 0.8614, 0.8614)  12 Co 2.84-3.14, 3 Y 3.15
Sc (0.0000, 0.0000, 0.0000)  18 Co 2.84-3.14
Co (0.0785, 0.5807, 0.5807)  7 Co 2.40-2.55
Co (0.3344, 0.3344, 0.3344)  6 Co 2.40-2.43
Co (0.4193, 0.4193, 0.9215)  7 Co 2.40-2.55
Co (0.4193, 0.9215, 0.4193)  7 Co 2.40-2.55
Co (0.5000, 0.5000, 0.5000)  6 Co 2.55
Co (0.5807, 0.0785, 0.5807)  7 Co 2.40-2.55
Co (0.5807, 0.5807, 0.0785)  7 Co 2.40-2.55
Co (0.6656, 0.6656, 0.6656)  6 Co 2.40-2.43
Co (0.9215, 0.4193, 0.4193)  7 Co 2.40-2.55

Calculated values
SG	R-3m
magnetic moment	0.8711	μB/atom
formation energy from the elements	-160	meV per atom
total energy	-7.09	eV per atom


Which value of total energy does entry 4 give? -7.90 eV per atom


Which value of total energy does entry 5 give? -10.55 eV per atom


Which formula does entry 5 have? PuPaN4